1.
# Y3Tl5O12

Crystalline Y3Tl5O12 at its relaxed geometry (PBE, Alexandria via LeMat-Bulk).

- theoretical density (g/cm3) = 8.1
- final energy (eV/atom) = -6.175
- E_form (uncorrected) (meV/atom) = -1639
- D(E_F) (states/eV/atom) = 0.18

```
Y3Tl5O12
1.0
11.6637 0.0000 0.0000
-3.8879 10.9966 0.0000
-3.8879 -5.4983 9.5233
O Y Tl
48 12 20
Cartesian
2.7458 4.7350 3.9653 O
-1.6050 0.0193 7.8972 O
4.6897 -0.7633 5.5580 O
5.9221 2.9443 3.4400 O
-1.1421 -3.0524 6.8796 O
-2.0343 2.5540 6.0833 O
-0.5532 0.6549 2.1180 O
7.6855 1.2421 0.4918 O
0.0903 3.7961 3.9319 O
5.2786 6.0858 5.2535 O
-0.3390 4.0997 0.8298 O
8.5776 2.4459 2.6437 O
-0.8018 6.2616 3.9653 O
-1.3907 -0.5875 4.2698 O
1.3907 4.2559 6.3878 O
1.6050 -1.3986 8.6935 O
-3.3347 4.9108 5.2535 O
2.4972 1.2424 3.1355 O
4.4411 4.8434 7.4054 O
2.0343 -1.7022 5.5915 O
-2.4972 6.1532 7.4054 O
5.0300 8.5507 2.6437 O
3.7976 1.7022 5.5915 O
-3.0860 9.3140 1.3216 O
6.9739 -3.8157 8.2017 O
-3.9782 8.0523 3.4400 O
4.2268 -1.4179 8.7270 O
0.5532 6.7407 6.3878 O
5.4929 5.4790 1.6261 O
1.8536 7.2005 3.9319 O
-1.1421 3.8157 8.2017 O
5.0300 1.6826 1.3216 O
-2.0343 -4.2562 9.0315 O
1.6050 1.4179 8.7270 O
8.1147 5.5176 1.6261 O
7.8661 -2.5540 6.0833 O
4.2268 1.3986 8.6935 O
2.2829 4.0804 0.7963 O
7.2226 0.5875 4.2698 O
3.3347 -1.2424 3.1355 O
-3.7976 4.2562 9.0315 O
5.9221 9.7545 0.4918 O
-4.6897 3.0524 6.8796 O
2.2829 6.8969 0.8298 O
6.3850 -0.6549 2.1180 O
-4.2268 -0.0193 7.8972 O
1.1421 0.7633 5.5580 O
-0.3390 6.9162 0.7963 O
-2.9159 2.0619 8.3329 Y
-0.9720 4.8110 5.9521 Y
6.8038 7.5602 1.1904 Y
8.7477 0.0000 2.3808 Y
0.9720 -0.6873 3.5713 Y
2.9159 0.0000 7.1425 Y
-2.9159 -2.0619 8.3329 Y
0.9720 5.4983 2.3808 Y
-4.8599 5.4983 7.1425 Y
6.8038 3.4364 1.1904 Y
2.9159 6.1856 5.9521 Y
4.8599 0.6873 3.5713 Y
-0.9720 2.7492 2.3808 Tl
4.8599 -3.4364 8.3329 Tl
-3.8879 2.7492 4.7617 Tl
-1.9439 -2.7492 4.7617 Tl
1.9439 2.7492 4.7617 Tl
0.9720 -2.7492 7.1425 Tl
2.9159 2.0619 1.1904 Tl
3.8879 -2.7492 4.7617 Tl
-2.9159 6.1856 3.5713 Tl
5.8318 0.0000 0.0000 Tl
0.9720 3.4364 8.3329 Tl
-0.9720 0.6873 5.9521 Tl
0.0000 0.0000 0.0000 Tl
4.8599 2.7492 7.1425 Tl
2.9159 8.2475 2.3808 Tl
-1.9439 5.4983 0.0000 Tl
6.8038 -0.6873 5.9521 Tl
-0.9720 8.9347 1.1904 Tl
3.8879 5.4983 0.0000 Tl
4.8599 4.8110 3.5713 Tl
```

2.
# YTlO3

Crystalline YTlO3 at its relaxed geometry (PBE, Alexandria via LeMat-Bulk).

- theoretical density (g/cm3) = 6.6
- final energy (eV/atom) = -6.244
- E_form (uncorrected) (meV/atom) = -1503
- D(E_F) (states/eV/atom) = 1.13

```
YTlO3
1.0
4.4053 0.0000 0.0000
0.0000 4.4053 0.0000
0.0000 0.0000 4.4053
O Tl Y
3 1 1
Cartesian
2.2026 0.0000 0.0000 O
0.0000 2.2026 0.0000 O
0.0000 0.0000 2.2026 O
2.2026 2.2026 2.2026 Tl
0.0000 0.0000 0.0000 Y
```

3.
# YTlO2

Crystalline YTlO2 at its relaxed geometry (PBE, Alexandria via LeMat-Bulk).

- theoretical density (g/cm3) = 6.1
- final energy (eV/atom) = -6.899
- E_form (uncorrected) (meV/atom) = -2212
- D(E_F) (states/eV/atom) = 0.00
- energy relative to the lowest polymorph listed for this composition (meV/atom) = 131

```
YTlO2
1.0
5.9606 0.0000 0.0000
0.0000 5.9606 0.0000
2.9803 2.9803 4.9788
Tl O Y
2 4 2
Cartesian
0.0000 0.0000 0.0000 Tl
5.9606 2.9803 2.4894 Tl
3.9304 1.4902 1.2447 O
2.0303 4.4705 1.2447 O
4.4705 5.0106 3.7341 O
7.4508 6.9107 3.7341 O
2.9803 2.9803 0.0000 Y
2.9803 5.9606 2.4894 Y
```

4.
# Y4Tl2O

Crystalline Y4Tl2O at its relaxed geometry (PBE, Alexandria via LeMat-Bulk).

- theoretical density (g/cm3) = 7.3
- final energy (eV/atom) = -6.158
- E_form (uncorrected) (meV/atom) = -1080
- D(E_F) (states/eV/atom) = 0.32
- energy relative to the lowest polymorph listed for this composition (meV/atom) = 10

```
Y4Tl2O
1.0
4.6494 0.0000 0.0000
0.0000 4.6494 0.0000
2.3247 2.3247 8.2458
Y O Tl
4 1 2
Cartesian
2.3247 0.0000 0.0000 Y
0.0000 2.3247 0.0000 Y
2.3247 2.3247 5.4289 Y
4.6494 4.6494 2.8169 Y
0.0000 0.0000 0.0000 O
4.6494 4.6494 5.9467 Tl
2.3247 2.3247 2.2991 Tl
```

5.
# Y5Tl2O2

Crystalline Y5Tl2O2 at its relaxed geometry (PBE, Alexandria via LeMat-Bulk).

- theoretical density (g/cm3) = 6.8
- final energy (eV/atom) = -6.677
- E_form (uncorrected) (meV/atom) = -1458
- D(E_F) (states/eV/atom) = 0.34

```
Y5Tl2O2
1.0
6.5039 0.0000 -2.1313
-0.6925 6.3978 -2.1133
-0.1575 -0.1313 10.5085
Y O Tl
10 4 4
Cartesian
6.4154 -0.0019 3.1028 Y
4.4827 5.4864 4.0821 Y
3.2399 4.0992 0.2897 Y
1.1581 0.9003 2.1420 Y
2.4009 2.2875 5.9344 Y
0.8895 4.6683 8.2087 Y
1.2356 1.4694 9.2654 Y
-0.4291 3.1970 4.1756 Y
4.7514 1.7192 -1.9849 Y
4.4050 4.9181 -3.0415 Y
4.4723 4.7939 1.9853 O
2.8991 3.2595 -2.1424 O
1.1683 1.5950 4.2381 O
-0.0066 0.0606 -0.0200 O
4.0436 0.8342 0.9911 Tl
1.5969 5.5556 5.2320 Tl
0.2329 4.0331 1.0697 Tl
5.4076 2.3567 5.1534 Tl
```

6.
# Y2TlO

Crystalline Y2TlO at its relaxed geometry (PBE, Alexandria via LeMat-Bulk).

- theoretical density (g/cm3) = 6.7
- final energy (eV/atom) = -6.589
- E_form (uncorrected) (meV/atom) = -1526
- D(E_F) (states/eV/atom) = 0.54
- energy relative to the lowest polymorph listed for this composition (meV/atom) = 94

```
Y2TlO
1.0
6.2534 0.0000 0.0000
0.0000 6.3242 -0.1143
0.0000 -1.2398 10.0257
Y O Tl
8 4 4
Cartesian
4.7444 4.7881 9.2453 Y
1.5090 2.2459 4.2896 Y
1.0576 2.3764 8.2843 Y
5.1958 -0.1658 3.3286 Y
1.0576 5.2502 6.5828 Y
5.1958 2.7080 1.6271 Y
1.5090 0.2962 0.6661 Y
4.7444 2.8384 5.6219 Y
0.6159 4.5436 8.6747 O
5.6374 0.5408 1.2368 O
5.6374 2.0014 3.7190 O
0.6159 3.0830 6.1925 O
2.0848 5.4144 3.6040 Tl
4.1685 -0.3300 6.3074 Tl
4.1685 1.6323 8.6740 Tl
2.0848 3.4520 1.2374 Tl
```

7.
# YTl2O

Crystalline YTl2O at its relaxed geometry (PBE, Alexandria via LeMat-Bulk).

- theoretical density (g/cm3) = 9.3
- final energy (eV/atom) = -3.965
- E_form (uncorrected) (meV/atom) = 74
- D(E_F) (states/eV/atom) = 1.23
- energy relative to the lowest polymorph listed for this composition (meV/atom) = 996

```
YTl2O
1.0
4.3730 1.6506 1.9536
0.2647 1.2800 4.8944
2.5840 -2.9102 3.2431
Tl Y O
2 1 1
Cartesian
5.4163 0.0153 7.5683 Tl
1.8054 0.0051 2.5228 Tl
3.6108 0.0102 5.0455 Y
0.0000 0.0000 0.0000 O
```

8.
# YZr2TlO

Crystalline YZr2TlO at its relaxed geometry (PBE, Alexandria via LeMat-Bulk).

- theoretical density (g/cm3) = 8.2
- final energy (eV/atom) = -7.273
- E_form (uncorrected) (meV/atom) = -1096
- D(E_F) (states/eV/atom) = 1.04

```
YZr2TlO
1.0
-1.1146 0.2175 -4.3502
-3.5428 -2.6575 0.7749
-2.7723 3.9606 0.9083
Y Zr O Tl
1 2 1 1
Cartesian
-1.3861 1.9803 0.4542 Y
-0.5573 0.1087 -2.1751 Zr
-1.7714 -1.3287 0.3874 Zr
0.0000 0.0000 0.0000 O
-3.7148 0.7603 -1.3335 Tl
```

9.
# Y2ZrTlO

Crystalline Y2ZrTlO at its relaxed geometry (PBE, Alexandria via LeMat-Bulk).

- theoretical density (g/cm3) = 7.7
- final energy (eV/atom) = -6.979
- E_form (uncorrected) (meV/atom) = -1219
- D(E_F) (states/eV/atom) = 0.84

```
Y2ZrTlO
1.0
-2.5044 2.2385 3.5350
3.3732 -1.3575 3.2493
2.2517 3.7419 -0.7743
Y Tl Zr O
2 1 1 1
Cartesian
1.6866 -0.6787 1.6247 Y
-1.2522 1.1193 1.7675 Y
1.5603 2.3115 3.0050 Tl
1.1259 1.8710 -0.3872 Zr
0.0000 0.0000 0.0000 O
```

10.
# Tl2ZnO2

Crystalline Tl2ZnO2 at its relaxed geometry (PBE, Alexandria via LeMat-Bulk).

- theoretical density (g/cm3) = 7.3
- final energy (eV/atom) = -4.016
- E_form (uncorrected) (meV/atom) = -831

```
Tl2ZnO2
1.0
6.0310 -1.0847 2.8065
1.8875 5.9907 1.2231
0.8897 -0.3108 6.4766
Tl Zn O
4 2 4
Cartesian
1.1545 1.3741 5.0468 Tl
3.8225 3.9231 5.6223 Tl
4.9856 0.6720 4.8839 Tl
7.6537 3.2210 5.4595 Tl
6.3951 3.9483 8.7129 Zn
2.4131 0.6468 1.7934 Zn
1.3229 1.9007 2.6099 O
7.4853 2.6944 7.8964 O
4.0006 4.6508 3.3474 O
4.8076 -0.0557 7.1588 O
```